First-principles (PBE) data for HfInAg after structural relaxation, as listed in the Alexandria database.

Computed properties:
Calculated volume ... 20.84 Å³ per atom
Energy of formation from the pure elements ... -0.072 eV/atom
Electronic total energy ... -5.25 eV per atom
Space group ... Pmmn (59)

Cell lengths 3.2301, 4.5864, 8.4404 Å; angles 89.99, 90.00, 90.00 degrees
Positions (direct):
In1 0.7163 0.2810 0.7045
Hf1 0.2162 0.7810 0.5495
Ag1 0.7158 0.7811 0.8942
In2 0.2162 0.7808 0.1955
Hf2 0.7162 0.2807 0.3505
Ag2 0.2159 0.2811 0.0058

=====

First-principles (PBE) data for K2Rb5Hg4 after structural relaxation, as listed in the Alexandria database.

Computed properties:
Calculated volume ... 55.69 Å³ per atom
Energy of formation from the pure elements ... -0.140 eV/atom
Energy above the most stable polymorph in this dataset ... 0 meV/atom
Electronic total energy ... -0.89 eV per atom
Space group ... Immm (71)

Cell lengths 5.0883, 9.4689, 13.8034 Å; angles 110.05, 100.62, 90.00 degrees
Positions (direct):
Hg1 0.0000 0.6673 0.0000
Rb1 0.8311 0.6012 0.6622
K1 0.4239 0.4238 0.8478
K2 0.5761 0.5762 0.1522
Rb2 0.8312 0.0607 0.6624
Hg2 0.0000 0.3327 0.0000
Hg3 0.2874 0.2870 0.5747
Rb3 0.1688 0.9393 0.3376
Rb4 0.5000 0.0000 0.0000
Rb5 0.1689 0.3988 0.3378
Hg4 0.7126 0.7130 0.4253